No. 1
A relaxed structure of NaGeB, computed with PBE-GGA.

a = 3.7137 Å, b = 3.7137 Å, c = 7.1913 Å
α = 90.00°, β = 90.00°, γ = 90.00°
With the nearest neighbours (Å) after each atom.
Fractional positions:
Na  0.2500  0.2500  0.1486  4 Ge 2.92, 4 B 3.14
Na  0.7500  0.7500  0.8514  4 Ge 2.92, 4 B 3.14
Ge  0.2500  0.2500  0.6742  4 B 2.24
Ge  0.7500  0.7500  0.3258  4 B 2.24
B  0.2500  0.7500  0.5000  4 Ge 2.24
B  0.7500  0.2500  0.5000  4 Ge 2.24

Values from the calculation:
space group = P4/nmm
DFT total energy = -22.6 eV/cell

***

No. 2
A relaxed structure of NaGeB, computed with PBE-GGA.

a = 5.9131 Å, b = 5.9131 Å, c = 5.9131 Å
α = 145.06°, β = 116.38°, γ = 74.69°
With the nearest neighbours (Å) after each atom.
Fractional positions:
Na  0.2505  0.2505  0.0000  6 Ge 3.03-3.18, 6 B 3.06-3.27
Na  0.7495  0.7495  0.0000  6 Ge 3.03-3.18, 6 B 3.06-3.27
Ge  0.3049  0.0000  0.3049  2 B 2.07
Ge  0.6951  0.0000  0.6951  2 B 2.07
B  0.1340  0.5000  0.6340  1 B 1.67
B  0.8660  0.5000  0.3660  1 B 1.67

Values from the calculation:
space group = Immm
DFT total energy = -24.8 eV/cell

***

No. 3
A relaxed structure of NaGeB, computed with PBE-GGA.

a = 3.3621 Å, b = 5.1529 Å, c = 6.3350 Å
α = 90.00°, β = 90.54°, γ = 90.00°
With the nearest neighbours (Å) after each atom.
Fractional positions:
Na  0.0000  0.0000  0.0000  2 B 2.80, 1 Ge 3.13
Na  0.4888  0.5000  0.3365  4 B 2.76, 1 Ge 3.03
Ge  0.4981  0.5000  0.8590  4 B 2.25
Ge  0.9924  0.0000  0.5056  2 B 2.03
B  0.9944  0.3463  0.6587  1 B 1.58
B  0.9944  0.6537  0.6587  1 B 1.58

Values from the calculation:
space group = Pm
DFT total energy = -24.1 eV/cell

***

No. 4
A relaxed structure of NaGeB, computed with PBE-GGA.

a = 7.2222 Å, b = 7.2222 Å, c = 7.2222 Å
α = 150.35°, β = 58.02°, γ = 131.34°
With the nearest neighbours (Å) after each atom.
Fractional positions:
Na  0.0000  0.0000  0.0000  2 Ge 2.66, 4 Na 2.83, 1 B 2.94
Na  0.1350  0.7549  0.3801  3 Ge 2.61-2.79, 2 B 2.78, 2 Na 2.83
Na  0.3747  0.7549  0.6199  3 Ge 2.61-2.79, 2 B 2.78, 2 Na 2.83
Ge  0.3801  0.5721  0.8081  3 B 2.18-2.30
Ge  0.6787  0.1787  0.5000  2 B 2.15
Ge  0.7640  0.5721  0.1919  3 B 2.18-2.30
B  0.4936  0.4936  0.0000  2 Ge 2.15
B  0.5724  0.2678  0.3047  3 Ge 2.18-2.30
B  0.9631  0.2678  0.6953  3 Ge 2.18-2.30

Values from the calculation:
space group = Imm2
DFT total energy = -32.8 eV/cell